Compound: NdTh2Pb
Source: the Alexandria database
Functional: GGA-PBE
Structure: relaxed

Values from the calculation:
- Total DFT energy (no corrections): -24.1 eV per cell
- Distance to the lowest polymorph of the same formula: 0.000 eV/atom
- Mass density: 11.0 Mg/m³
- Spin magnetization: 0.000 μB/cell
- ΔE_f: -204 meV per atom

Cell lengths 5.162, 4.893, 4.893 Å; angles 90.00, 90.00, 90.00 degrees
Positions (direct):
Th 0.000 0.000 0.500
Nd 0.500 0.500 0.500
Th 0.000 0.500 0.000
Pb 0.500 0.000 0.000